No. 1
Computed, not measured: an optimized crystal structure of SmGaCo at the GGA-PBE level of DFT.

As for the calculated density: 7.35 g cm⁻³. As for the total energy: -5.23 eV per atom.

The structure belongs to space group Pnma (No. 62); the cell edges are 7.738, 4.182 and 7.795 Å and the angles 90.00°, 90.00° and 90.00°. Symmetry generates all atoms from Sm at (0.211, 0.250, 0.074), Ga at (0.003, 0.750, 0.273) and Co at (0.052, 0.250, 0.426).

---

No. 2
Computed, not measured: an optimized crystal structure of Na2PuMgS4 at the GGA-PBE level of DFT.

As for the calculated density: 3.65 g cm⁻³. As for the total energy: -5.52 eV per atom.

The structure belongs to space group I-4 (No. 82); the cell edges are 6.888, 6.888 and 8.481 Å and the angles 90.00°, 90.00° and 90.00°. Symmetry generates all atoms from Na at (0.000, 0.000, 0.000), Na at (0.000, 0.500, 0.250), Pu at (0.000, 0.000, 0.500), Mg at (0.000, 0.500, 0.750) and S at (0.220, 0.261, 0.625).

---

No. 3
Computed, not measured: an optimized crystal structure of BaSrCdS3 at the GGA-PBE level of DFT.

As for the calculated density: 4.39 g cm⁻³. As for the total energy: -4.40 eV per atom.

The structure belongs to space group Pnma (No. 62); the cell edges are 8.864, 4.248 and 17.404 Å and the angles 90.00°, 90.00° and 90.00°. Symmetry generates all atoms from Ba at (0.231, 0.250, 0.040), Sr at (0.075, 0.250, 0.780), Cd at (0.122, 0.250, 0.367), S at (0.023, 0.250, 0.599), S at (0.114, 0.750, 0.921) and S at (0.186, 0.250, 0.225).